A plane-wave DFT calculation with SCAN was carried out for a PBEsol-optimized structure of Ga2PH.

Output
DOS(E_F), states/eV/atom: 0.06
VASP energy, eV per atom: -11.51
Magnetic moment, μB/atom: 0.000

Structure (extended XYZ):
```
8
Lattice="-2.1367 2.1367 6.4269 2.1367 -2.1367 6.4269 2.1367 2.1367 -6.4269" Properties=species:S:1:pos:R:3 pbc="T T T"
Ga 3.2050 0.7230 -1.6067
Ga 0.7230 1.0683 1.6067
Ga -1.0683 1.4136 4.8201
Ga 1.4136 1.0683 8.0336
P 2.1367 0.0000 3.2134
P 0.0000 0.0000 6.4269
H 0.0000 0.0000 0.0000
H 0.0000 2.1367 3.2134
```